Entry 1:
Entry from the Alexandria database: crystalline Cd2Si at its relaxed geometry (PBE). Values from VASP.

Properties
- Space group: P-3m1
- VASP energy: -2.09 eV/atom
- Calculated volume: 61 Å³/cell
- Energy relative to the elements, uncorrected: 0.326 eV/atom

Geometry as Quantum ESPRESSO input:
```
&SYSTEM
  ibrav = 0, nat = 3, ntyp = 2
/
ATOMIC_SPECIES
Cd 112.41 Cd.upf
Si 28.09 Si.upf
ATOMIC_POSITIONS crystal
Cd 0.667 0.333 0.677
Cd 0.333 0.667 0.323
Si 0.000 0.000 0.000
CELL_PARAMETERS angstrom
3.017 0.000 0.000
-1.508 2.613 0.000
0.000 0.000 7.771
```

---

Entry 2:
Entry from the Alexandria database: crystalline Cd4Si at its relaxed geometry (PBE). Values from VASP.

Properties
- Space group: Pm-3m
- VASP energy: -1.47 eV/atom
- Calculated volume: 138 Å³/cell
- Energy above the lowest structure with this stoichiometry: 136 meV per atom
- Energy relative to the elements, uncorrected: 0.351 eV/atom

Geometry as Quantum ESPRESSO input:
```
&SYSTEM
  ibrav = 0, nat = 5, ntyp = 2
/
ATOMIC_SPECIES
Cd 112.41 Cd.upf
Si 28.09 Si.upf
ATOMIC_POSITIONS crystal
Cd 0.500 0.000 0.500
Si 0.500 0.500 0.500
Cd 0.500 0.500 0.000
Cd 0.000 0.500 0.500
Cd 0.000 0.000 0.000
CELL_PARAMETERS angstrom
5.173 0.000 0.000
0.000 5.173 0.000
0.000 0.000 5.173
```

---

Entry 3:
Entry from the Alexandria database: crystalline CdSi3 at its relaxed geometry (PBE). Values from VASP.

Properties
- Space group: P6_3/mmc
- VASP energy: -3.83 eV/atom
- Calculated volume: 303 Å³/cell
- Energy above the lowest structure with this stoichiometry: 86 meV per atom
- Energy relative to the elements, uncorrected: 0.462 eV/atom

Geometry as Quantum ESPRESSO input:
```
&SYSTEM
  ibrav = 0, nat = 16, ntyp = 2
/
ATOMIC_SPECIES
Si 28.09 Si.upf
Cd 112.41 Cd.upf
ATOMIC_POSITIONS crystal
Si 0.185 0.815 0.750
Cd 0.000 0.000 0.000
Si 0.185 0.369 0.750
Si 0.815 0.185 0.250
Cd 0.000 0.000 0.500
Cd 0.667 0.333 0.750
Cd 0.333 0.667 0.250
Si 0.631 0.815 0.750
Si 0.000 0.500 0.000
Si 0.500 0.500 0.500
Si 0.500 0.500 0.000
Si 0.500 0.000 0.000
Si 0.815 0.631 0.250
Si 0.369 0.185 0.250
Si 0.500 0.000 0.500
Si 0.000 0.500 0.500
CELL_PARAMETERS angstrom
7.813 0.000 0.000
-3.906 6.766 0.000
0.000 0.000 5.729
```

---

Entry 4:
Entry from the Alexandria database: crystalline Cd2Si at its relaxed geometry (PBE). Values from VASP.

Properties
- Space group: Pnma
- VASP energy: -2.13 eV/atom
- Calculated volume: 258 Å³/cell
- Energy relative to the elements, uncorrected: 0.292 eV/atom

Geometry as Quantum ESPRESSO input:
```
&SYSTEM
  ibrav = 0, nat = 12, ntyp = 2
/
ATOMIC_SPECIES
Cd 112.41 Cd.upf
Si 28.09 Si.upf
ATOMIC_POSITIONS crystal
Cd 0.750 0.371 0.934
Cd 0.250 0.031 0.841
Si 0.750 0.756 0.877
Cd 0.250 0.629 0.066
Si 0.250 0.744 0.377
Cd 0.750 0.969 0.159
Cd 0.750 0.469 0.341
Si 0.250 0.244 0.123
Cd 0.250 0.531 0.659
Si 0.750 0.256 0.623
Cd 0.750 0.871 0.566
Cd 0.250 0.129 0.434
CELL_PARAMETERS angstrom
4.245 0.000 0.000
0.000 7.477 0.000
0.000 0.000 8.118
```

---

Entry 5:
Entry from the Alexandria database: crystalline Cd4Si5 at its relaxed geometry (PBE). Values from VASP.

Properties
- Space group: P6_3/mcm
- VASP energy: -2.88 eV/atom
- Calculated volume: 357 Å³/cell
- Energy above the lowest structure with this stoichiometry: 74 meV per atom
- Energy relative to the elements, uncorrected: 0.535 eV/atom

Geometry as Quantum ESPRESSO input:
```
&SYSTEM
  ibrav = 0, nat = 18, ntyp = 2
/
ATOMIC_SPECIES
Si 28.09 Si.upf
Cd 112.41 Cd.upf
ATOMIC_POSITIONS crystal
Si 0.593 0.593 0.750
Si 0.667 0.333 0.000
Cd 0.707 0.707 0.250
Si 0.593 0.000 0.250
Si 0.000 0.407 0.750
Cd 0.707 0.000 0.750
Cd 0.000 0.707 0.750
Si 0.407 0.407 0.250
Si 0.000 0.593 0.250
Si 0.407 0.000 0.750
Cd 0.000 0.000 0.500
Si 0.667 0.333 0.500
Cd 0.293 0.293 0.750
Cd 0.000 0.000 0.000
Cd 0.293 0.000 0.250
Cd 0.000 0.293 0.250
Si 0.333 0.667 0.000
Si 0.333 0.667 0.500
CELL_PARAMETERS angstrom
8.773 0.000 0.000
-4.387 7.598 0.000
0.000 0.000 5.349
```

---

Entry 6:
Entry from the Alexandria database: crystalline Cd3Si5 at its relaxed geometry (PBE). Values from VASP.

Properties
- Space group: Cmmm
- VASP energy: -3.19 eV/atom
- Calculated volume: 150 Å³/cell
- Energy above the lowest structure with this stoichiometry: 163 meV per atom
- Energy relative to the elements, uncorrected: 0.542 eV/atom

Geometry as Quantum ESPRESSO input:
```
&SYSTEM
  ibrav = 0, nat = 8, ntyp = 2
/
ATOMIC_SPECIES
Si 28.09 Si.upf
Cd 112.41 Cd.upf
ATOMIC_POSITIONS crystal
Si 0.786 0.786 0.500
Si 0.214 0.214 0.500
Cd 0.500 0.500 0.000
Si 0.000 0.500 0.000
Cd 0.738 0.262 0.500
Si 0.000 0.000 0.000
Si 0.500 0.000 0.000
Cd 0.262 0.738 0.500
CELL_PARAMETERS angstrom
2.394 5.632 0.310
-2.823 0.459 -5.418
-3.340 1.318 1.852
```

---

Entry 7:
Entry from the Alexandria database: crystalline Cd3Si2 at its relaxed geometry (PBE). Values from VASP.

Properties
- Space group: R-3m
- VASP energy: -2.31 eV/atom
- Calculated volume: 106 Å³/cell
- Energy above the lowest structure with this stoichiometry: 142 meV per atom
- Energy relative to the elements, uncorrected: 0.413 eV/atom

Geometry as Quantum ESPRESSO input:
```
&SYSTEM
  ibrav = 0, nat = 5, ntyp = 2
/
ATOMIC_SPECIES
Cd 112.41 Cd.upf
Si 28.09 Si.upf
ATOMIC_POSITIONS crystal
Cd 0.000 0.000 0.000
Si 0.398 0.398 0.398
Si 0.602 0.602 0.602
Cd 0.204 0.204 0.204
Cd 0.796 0.796 0.796
CELL_PARAMETERS angstrom
-1.513 9.932 2.403
-1.118 8.617 5.587
1.667 9.494 3.715
```

---

Entry 8:
Entry from the Alexandria database: crystalline CdSi3 at its relaxed geometry (PBE). Values from VASP.

Properties
- Space group: Cmcm
- VASP energy: -3.81 eV/atom
- Calculated volume: 144 Å³/cell
- Energy above the lowest structure with this stoichiometry: 114 meV per atom
- Energy relative to the elements, uncorrected: 0.490 eV/atom

Geometry as Quantum ESPRESSO input:
```
&SYSTEM
  ibrav = 0, nat = 8, ntyp = 2
/
ATOMIC_SPECIES
Si 28.09 Si.upf
Cd 112.41 Cd.upf
ATOMIC_POSITIONS crystal
Si 0.878 0.707 0.250
Si 0.293 0.122 0.250
Si 0.122 0.293 0.750
Cd 0.633 0.367 0.750
Si 0.707 0.878 0.750
Si 0.858 0.142 0.250
Cd 0.367 0.633 0.250
Si 0.142 0.858 0.750
CELL_PARAMETERS angstrom
3.713 -4.611 0.000
3.713 4.611 0.000
0.000 0.000 4.210
```

---

Entry 9:
Entry from the Alexandria database: crystalline CdSi2 at its relaxed geometry (PBE). Values from VASP.

Properties
- Space group: Cmcm
- VASP energy: -3.49 eV/atom
- Calculated volume: 112 Å³/cell
- Energy above the lowest structure with this stoichiometry: 88 meV per atom
- Energy relative to the elements, uncorrected: 0.426 eV/atom

Geometry as Quantum ESPRESSO input:
```
&SYSTEM
  ibrav = 0, nat = 6, ntyp = 2
/
ATOMIC_SPECIES
Cd 112.41 Cd.upf
Si 28.09 Si.upf
ATOMIC_POSITIONS crystal
Cd 0.427 0.573 0.250
Si 0.261 0.739 0.750
Si 0.739 0.261 0.250
Cd 0.573 0.427 0.750
Si 0.108 0.892 0.250
Si 0.892 0.108 0.750
CELL_PARAMETERS angstrom
1.384 -8.233 0.000
1.384 8.233 0.000
0.000 0.000 4.926
```

---

Entry 10:
Entry from the Alexandria database: crystalline Cd2Si at its relaxed geometry (PBE). Values from VASP.

Properties
- Space group: Fd-3m
- VASP energy: -1.88 eV/atom
- Calculated volume: 133 Å³/cell
- Energy relative to the elements, uncorrected: 0.536 eV/atom

Geometry as Quantum ESPRESSO input:
```
&SYSTEM
  ibrav = 0, nat = 6, ntyp = 2
/
ATOMIC_SPECIES
Cd 112.41 Cd.upf
Si 28.09 Si.upf
ATOMIC_POSITIONS crystal
Cd 0.125 0.625 0.125
Cd 0.625 0.125 0.125
Cd 0.125 0.125 0.625
Si 0.750 0.750 0.750
Cd 0.125 0.125 0.125
Si 0.500 0.500 0.500
CELL_PARAMETERS angstrom
0.000 4.055 4.055
4.055 0.000 4.055
4.055 4.055 0.000
```

---

Entry 11:
Entry from the Alexandria database: crystalline CdSi2 at its relaxed geometry (PBE). Values from VASP.

Properties
- Space group: I4/mmm
- VASP energy: -3.48 eV/atom
- Calculated volume: 58 Å³/cell
- Energy above the lowest structure with this stoichiometry: 98 meV per atom
- Energy relative to the elements, uncorrected: 0.435 eV/atom

Geometry as Quantum ESPRESSO input:
```
&SYSTEM
  ibrav = 0, nat = 3, ntyp = 2
/
ATOMIC_SPECIES
Si 28.09 Si.upf
Cd 112.41 Cd.upf
ATOMIC_POSITIONS crystal
Si 0.716 0.716 0.000
Si 0.284 0.284 0.000
Cd 0.000 0.000 0.000
CELL_PARAMETERS angstrom
-3.348 -4.210 1.438
-0.746 -2.331 5.002
0.285 4.830 -2.756
```

---

Entry 12:
Entry from the Alexandria database: crystalline Cd3Si2 at its relaxed geometry (PBE). Values from VASP.

Properties
- Space group: P-3m1
- VASP energy: -2.33 eV/atom
- Calculated volume: 112 Å³/cell
- Energy above the lowest structure with this stoichiometry: 121 meV per atom
- Energy relative to the elements, uncorrected: 0.392 eV/atom

Geometry as Quantum ESPRESSO input:
```
&SYSTEM
  ibrav = 0, nat = 5, ntyp = 2
/
ATOMIC_SPECIES
Cd 112.41 Cd.upf
Si 28.09 Si.upf
ATOMIC_POSITIONS crystal
Cd 0.000 0.000 0.000
Si 0.667 0.333 0.207
Si 0.333 0.667 0.793
Cd 0.333 0.667 0.370
Cd 0.667 0.333 0.630
CELL_PARAMETERS angstrom
2.169 -3.757 0.000
2.169 3.757 0.000
0.000 0.000 6.847
```

---

Entry 13:
Entry from the Alexandria database: crystalline CdSi3 at its relaxed geometry (PBE). Values from VASP.

Properties
- Space group: Pnma
- VASP energy: -3.90 eV/atom
- Calculated volume: 302 Å³/cell
- Energy above the lowest structure with this stoichiometry: 21 meV per atom
- Energy relative to the elements, uncorrected: 0.397 eV/atom

Geometry as Quantum ESPRESSO input:
```
&SYSTEM
  ibrav = 0, nat = 16, ntyp = 2
/
ATOMIC_SPECIES
Si 28.09 Si.upf
Cd 112.41 Cd.upf
ATOMIC_POSITIONS crystal
Si 0.114 0.202 0.533
Si 0.886 0.798 0.033
Si 0.374 0.374 0.750
Si 0.886 0.798 0.467
Si 0.614 0.298 0.033
Si 0.386 0.702 0.967
Cd 0.870 0.458 0.750
Si 0.114 0.202 0.967
Cd 0.370 0.042 0.250
Si 0.614 0.298 0.467
Si 0.874 0.126 0.250
Si 0.386 0.702 0.533
Si 0.126 0.874 0.750
Si 0.626 0.626 0.250
Cd 0.130 0.542 0.250
Cd 0.630 0.958 0.750
CELL_PARAMETERS angstrom
7.771 0.000 0.000
0.000 6.918 0.000
0.000 0.000 5.611
```

---

Entry 14:
Entry from the Alexandria database: crystalline CdSi3 at its relaxed geometry (PBE). Values from VASP.

Properties
- Space group: P6_3/mmc
- VASP energy: -3.77 eV/atom
- Calculated volume: 150 Å³/cell
- Energy above the lowest structure with this stoichiometry: 154 meV per atom
- Energy relative to the elements, uncorrected: 0.530 eV/atom

Geometry as Quantum ESPRESSO input:
```
&SYSTEM
  ibrav = 0, nat = 8, ntyp = 2
/
ATOMIC_SPECIES
Cd 112.41 Cd.upf
Si 28.09 Si.upf
ATOMIC_POSITIONS crystal
Cd 0.333 0.667 0.250
Si 0.862 0.138 0.250
Cd 0.667 0.333 0.750
Si 0.277 0.138 0.250
Si 0.138 0.277 0.750
Si 0.723 0.862 0.750
Si 0.862 0.723 0.250
Si 0.138 0.862 0.750
CELL_PARAMETERS angstrom
3.229 -5.593 0.000
3.229 5.593 0.000
0.000 0.000 4.153
```

---

Entry 15:
Entry from the Alexandria database: crystalline Cd4Si5 at its relaxed geometry (PBE). Values from VASP.

Properties
- Space group: I4/mmm
- VASP energy: -2.96 eV/atom
- Calculated volume: 175 Å³/cell
- Energy above the lowest structure with this stoichiometry: 0 meV per atom
- Energy relative to the elements, uncorrected: 0.461 eV/atom

Geometry as Quantum ESPRESSO input:
```
&SYSTEM
  ibrav = 0, nat = 9, ntyp = 2
/
ATOMIC_SPECIES
Si 28.09 Si.upf
Cd 112.41 Cd.upf
ATOMIC_POSITIONS crystal
Si 0.000 0.000 0.000
Cd 0.673 0.000 0.673
Si 0.644 0.356 0.000
Cd 0.000 0.327 0.327
Si 0.356 0.644 0.000
Si 0.644 0.644 0.287
Cd 0.000 0.673 0.673
Cd 0.327 0.000 0.327
Si 0.356 0.356 0.713
CELL_PARAMETERS angstrom
5.186 -3.182 -2.588
-1.342 4.664 4.491
-2.411 -5.108 3.438
```

---

Entry 16:
Entry from the Alexandria database: crystalline Cd2Si at its relaxed geometry (PBE). Values from VASP.

Properties
- Space group: I4/mmm
- VASP energy: -2.05 eV/atom
- Calculated volume: 63 Å³/cell
- Energy relative to the elements, uncorrected: 0.368 eV/atom

Geometry as Quantum ESPRESSO input:
```
&SYSTEM
  ibrav = 0, nat = 3, ntyp = 2
/
ATOMIC_SPECIES
Si 28.09 Si.upf
Cd 112.41 Cd.upf
ATOMIC_POSITIONS crystal
Si 0.000 0.000 0.000
Cd 0.337 0.337 0.000
Cd 0.663 0.663 0.000
CELL_PARAMETERS angstrom
5.163 0.053 0.000
2.343 4.601 0.000
-3.753 -2.327 2.676
```

---

Entry 17:
Entry from the Alexandria database: crystalline Cd2Si at its relaxed geometry (PBE). Values from VASP.

Properties
- Space group: Cm
- VASP energy: -2.17 eV/atom
- Calculated volume: 133 Å³/cell
- Energy relative to the elements, uncorrected: 0.248 eV/atom

Geometry as Quantum ESPRESSO input:
```
&SYSTEM
  ibrav = 0, nat = 6, ntyp = 2
/
ATOMIC_SPECIES
Cd 112.41 Cd.upf
Si 28.09 Si.upf
ATOMIC_POSITIONS crystal
Cd 0.420 0.420 0.651
Cd 0.986 0.986 0.055
Cd 0.657 0.657 0.695
Si 0.700 0.700 0.094
Cd 0.313 0.313 0.304
Si 0.090 0.090 0.368
CELL_PARAMETERS angstrom
1.438 8.043 -0.279
-1.438 8.043 -0.279
0.000 1.766 5.703
```

---

Entry 18:
Entry from the Alexandria database: crystalline CdSi2 at its relaxed geometry (PBE). Values from VASP.

Properties
- Space group: R-3m
- VASP energy: -3.40 eV/atom
- Calculated volume: 57 Å³/cell
- Energy above the lowest structure with this stoichiometry: 178 meV per atom
- Energy relative to the elements, uncorrected: 0.515 eV/atom

Geometry as Quantum ESPRESSO input:
```
&SYSTEM
  ibrav = 0, nat = 3, ntyp = 2
/
ATOMIC_SPECIES
Si 28.09 Si.upf
Cd 112.41 Cd.upf
ATOMIC_POSITIONS crystal
Si 0.209 0.209 0.209
Cd 0.000 0.000 0.000
Si 0.791 0.791 0.791
CELL_PARAMETERS angstrom
-5.051 -0.249 5.087
-2.768 -1.887 6.342
-2.738 1.185 6.523
```

---

Entry 19:
Entry from the Alexandria database: crystalline CdSi3 at its relaxed geometry (PBE). Values from VASP.

Properties
- Space group: I4/mmm
- VASP energy: -3.87 eV/atom
- Calculated volume: 151 Å³/cell
- Energy above the lowest structure with this stoichiometry: 49 meV per atom
- Energy relative to the elements, uncorrected: 0.425 eV/atom

Geometry as Quantum ESPRESSO input:
```
&SYSTEM
  ibrav = 0, nat = 8, ntyp = 2
/
ATOMIC_SPECIES
Si 28.09 Si.upf
Cd 112.41 Cd.upf
ATOMIC_POSITIONS crystal
Si 0.250 0.750 0.500
Si 0.750 0.250 0.500
Cd 0.396 0.396 0.000
Si 0.000 0.500 0.500
Si 0.825 0.825 0.000
Cd 0.604 0.604 0.000
Si 0.500 0.000 0.500
Si 0.175 0.175 0.000
CELL_PARAMETERS angstrom
-1.819 1.819 11.437
1.819 -1.819 11.437
1.819 1.819 -11.437
```

---

Entry 20:
Entry from the Alexandria database: crystalline Cd3Si4 at its relaxed geometry (PBE). Values from VASP.

Properties
- Space group: P-43m
- VASP energy: -3.02 eV/atom
- Calculated volume: 159 Å³/cell
- Energy above the lowest structure with this stoichiometry: 84 meV per atom
- Energy relative to the elements, uncorrected: 0.469 eV/atom

Geometry as Quantum ESPRESSO input:
```
&SYSTEM
  ibrav = 0, nat = 7, ntyp = 2
/
ATOMIC_SPECIES
Cd 112.41 Cd.upf
Si 28.09 Si.upf
ATOMIC_POSITIONS crystal
Cd 0.500 0.500 0.000
Si 0.839 0.839 0.839
Si 0.161 0.161 0.839
Cd 0.000 0.500 0.500
Si 0.161 0.839 0.161
Cd 0.500 0.000 0.500
Si 0.839 0.161 0.161
CELL_PARAMETERS angstrom
-1.025 -3.553 3.966
4.738 1.234 2.331
-2.430 3.906 2.871
```